The following is a DFT calculation (GGA-PBE) of crystalline Cu5I12F3 at its relaxed geometry.

## Properties
volume = 28.13 Å³/atom
DOS at the Fermi energy = 30.8 states/eV/f.u.
symmetry = Ia-3d
total magnetization = 0.000 μB per atom
E_form (uncorrected) = -0.028 eV/atom

```
Cu5I12F3
1.0
14.298 0.000 0.000
-4.766 13.480 0.000
-4.766 -6.740 11.674
Cu I F
20 48 12
direct
0.750 0.125 0.875 Cu
0.000 0.500 0.000 Cu
0.250 0.375 0.625 Cu
0.625 0.750 0.875 Cu
0.500 0.000 0.000 Cu
0.000 0.500 0.500 Cu
0.375 0.250 0.125 Cu
0.125 0.750 0.375 Cu
0.000 0.000 0.000 Cu
0.000 0.000 0.500 Cu
0.625 0.875 0.250 Cu
0.875 0.250 0.625 Cu
0.250 0.875 0.125 Cu
0.125 0.375 0.250 Cu
0.500 0.500 0.000 Cu
0.750 0.625 0.375 Cu
0.500 0.500 0.500 Cu
0.875 0.625 0.750 Cu
0.375 0.125 0.750 Cu
0.500 0.000 0.500 Cu
0.682 0.462 0.577 I
0.577 0.615 0.395 I
0.885 0.605 0.923 I
0.462 0.682 0.077 I
0.318 0.780 0.395 I
0.115 0.395 0.077 I
0.385 0.962 0.780 I
0.895 0.077 0.615 I
0.780 0.318 0.895 I
0.780 0.462 0.385 I
0.395 0.115 0.577 I
0.105 0.923 0.385 I
0.615 0.577 0.895 I
0.038 0.615 0.720 I
0.077 0.182 0.462 I
0.077 0.895 0.115 I
0.280 0.395 0.818 I
0.395 0.280 0.318 I
0.462 0.780 0.885 I
0.885 0.280 0.462 I
0.280 0.885 0.962 I
0.182 0.105 0.720 I
0.895 0.818 0.780 I
0.038 0.423 0.818 I
0.818 0.923 0.038 I
0.818 0.895 0.280 I
0.962 0.385 0.280 I
0.605 0.885 0.423 I
0.720 0.115 0.038 I
0.682 0.220 0.605 I
0.220 0.682 0.105 I
0.423 0.385 0.605 I
0.962 0.577 0.182 I
0.385 0.423 0.105 I
0.115 0.720 0.538 I
0.538 0.220 0.115 I
0.577 0.962 0.682 I
0.182 0.077 0.962 I
0.615 0.038 0.220 I
0.538 0.318 0.923 I
0.923 0.818 0.538 I
0.605 0.720 0.682 I
0.923 0.105 0.885 I
0.220 0.538 0.615 I
0.423 0.038 0.318 I
0.105 0.182 0.220 I
0.318 0.538 0.423 I
0.720 0.605 0.182 I
0.625 0.250 0.375 F
0.125 0.875 0.750 F
0.750 0.375 0.125 F
0.375 0.750 0.625 F
0.250 0.125 0.375 F
0.250 0.625 0.875 F
0.875 0.125 0.250 F
0.375 0.625 0.250 F
0.125 0.250 0.875 F
0.750 0.875 0.625 F
0.625 0.375 0.750 F
0.875 0.750 0.125 F
```



The following is a DFT calculation (GGA-PBE) of crystalline CuIF2 at its relaxed geometry.

## Properties
volume = 15.38 Å³/atom
DOS at the Fermi energy = 4.4 states/eV/f.u.
symmetry = Fm-3m
total magnetization = 0.000 μB per atom
E_form (uncorrected) = -0.271 eV/atom
energy above the most stable polymorph in this dataset = 779.3 meV per atom

```
CuIF2
1.0
1.612 -2.255 3.457
-1.562 0.775 4.073
-2.508 -3.039 2.026
F Cu I
2 1 1
direct
0.250 0.250 0.250 F
0.750 0.750 0.750 F
0.000 0.000 0.000 Cu
0.500 0.500 0.500 I
```



The following is a DFT calculation (GGA-PBE) of crystalline CuIF2 at its relaxed geometry.

## Properties
volume = 21.18 Å³/atom
DOS at the Fermi energy = 7.8 states/eV/f.u.
symmetry = I4_1/amd
total magnetization = 0.270 μB per atom
E_form (uncorrected) = -0.813 eV/atom
energy above the most stable polymorph in this dataset = 237.4 meV per atom

```
CuIF2
1.0
6.196 0.000 0.000
0.000 6.196 0.000
3.098 3.098 4.415
I F Cu
2 4 2
direct
0.750 0.250 0.500 I
0.000 0.000 0.000 I
0.875 0.625 0.750 F
0.375 0.625 0.750 F
0.375 0.125 0.250 F
0.375 0.625 0.250 F
0.250 0.750 0.500 Cu
0.500 0.500 0.000 Cu
```



The following is a DFT calculation (GGA-PBE) of crystalline Cu2IF at its relaxed geometry.

## Properties
volume = 19.07 Å³/atom
DOS at the Fermi energy = 1.2 states/eV/f.u.
symmetry = I-42d
total magnetization = 0.000 μB per atom
E_form (uncorrected) = -0.463 eV/atom
energy above the most stable polymorph in this dataset = 0.0 meV per atom

```
Cu2IF
1.0
4.901 0.000 0.000
0.000 4.901 0.000
2.451 2.451 6.350
Cu I F
4 2 2
direct
0.214 0.625 0.250 Cu
0.536 0.125 0.250 Cu
0.875 0.786 0.750 Cu
0.375 0.464 0.750 Cu
0.000 0.000 0.000 I
0.750 0.250 0.500 I
0.250 0.750 0.500 F
0.500 0.500 0.000 F
```



The following is a DFT calculation (GGA-PBE) of crystalline Cu3IF at its relaxed geometry.

## Properties
volume = 16.69 Å³/atom
DOS at the Fermi energy = 1.9 states/eV/f.u.
symmetry = Pm-3m
total magnetization = 0.000 μB per atom
E_form (uncorrected) = 0.102 eV/atom
energy above the most stable polymorph in this dataset = 0.0 meV per atom

```
Cu3IF
1.0
4.370 0.000 0.000
0.000 4.370 0.000
0.000 0.000 4.370
Cu F I
3 1 1
direct
0.000 0.000 0.500 Cu
0.000 0.500 0.000 Cu
0.500 0.000 0.000 Cu
0.000 0.000 0.000 F
0.500 0.500 0.500 I
```



The following is a DFT calculation (GGA-PBE) of crystalline In2CuIF at its relaxed geometry.

## Properties
volume = 27.25 Å³/atom
DOS at the Fermi energy = 2.2 states/eV/f.u.
symmetry = P4/mmm
total magnetization = 0.000 μB per atom
E_form (uncorrected) = -0.413 eV/atom

```
In2CuIF
1.0
-1.586 5.461 -1.594
-3.758 -1.056 0.119
-0.264 1.583 5.684
In Cu F I
2 1 1 1
direct
0.000 0.000 0.500 In
0.500 0.000 0.000 In
0.000 0.500 0.000 Cu
0.000 0.000 0.000 F
0.500 0.500 0.500 I
```



The following is a DFT calculation (GGA-PBE) of crystalline K2CuIF6 at its relaxed geometry.

## Properties
volume = 18.77 Å³/atom
DOS at the Fermi energy = 0.9 states/eV/f.u.
symmetry = P-1
total magnetization = 0.000 μB per atom
E_form (uncorrected) = -1.927 eV/atom

```
K2CuIF6
1.0
-4.849 -0.275 -3.217
4.046 -0.411 -5.073
-0.652 -5.311 -3.889
F K Cu I
6 2 1 1
direct
0.239 0.835 0.023 F
0.761 0.165 0.977 F
0.870 0.931 0.342 F
0.130 0.069 0.658 F
0.634 0.580 0.210 F
0.366 0.420 0.790 F
0.276 0.791 0.448 K
0.724 0.209 0.552 K
0.000 0.000 0.000 Cu
0.500 0.500 0.000 I
```



The following is a DFT calculation (GGA-PBE) of crystalline KCuIF at its relaxed geometry.

## Properties
volume = 25.81 Å³/atom
symmetry = P3m1
total magnetization = 0.000 μB per atom
E_form (uncorrected) = -1.399 eV/atom

```
KCuIF
1.0
4.331 0.000 0.000
-2.165 3.751 0.004
0.000 -0.011 6.355
F Cu I K
1 1 1 1
direct
0.239 0.478 0.892 F
0.238 0.476 0.217 Cu
0.572 0.144 0.338 I
0.905 0.811 0.792 K
```